# 1
Here is a relaxed La6SmEr2Th crystal from the Alexandria database. Energies are from PBE-GGA.

The calculated total energy comes out at -4.957 eV/atom. For the magnetization, the calculation gives 0.00 Bohr magnetons per cell. The calculation puts the calculated formation energy at 0.126 eV per atom.

The space group is C2/c (No. 15) and the conventional cell measures 9.366, 15.199 and 10.039 Å, with angles of 90.00, 100.08 and 90.00 degrees. The inequivalent atoms are La at (0.071, 0.178, 0.445), La at (0.097, 0.398, 0.621), La at (0.214, 0.219, 0.809), Sm at (0.000, 0.023, 0.750), Er at (0.239, 0.045, 0.049) and Th at (0.000, 0.406, 0.250).

# 2
Here is a relaxed La2SmEr5Th crystal from the Alexandria database. Energies are from PBE-GGA.

The calculated total energy comes out at -4.700 eV/atom. For the magnetization, the calculation gives 0.00 Bohr magnetons per cell. The calculation puts the calculated formation energy at 0.279 eV per atom.

The space group is I4/mcm (No. 140) and the conventional cell measures 8.677, 8.677 and 15.561 Å, with angles of 90.00, 90.00 and 90.00 degrees. The inequivalent atoms are La at (0.117, 0.383, 0.000), Sm at (0.000, 0.500, 0.250), Er at (0.000, 0.000, 0.000), Er at (0.216, 0.284, 0.358) and Th at (0.000, 0.000, 0.250).

# 3
Here is a relaxed LaSmEr3Th crystal from the Alexandria database. Energies are from PBE-GGA.

The calculated total energy comes out at -5.097 eV/atom. For the magnetization, the calculation gives 0.00 Bohr magnetons per cell. The calculation puts the calculated formation energy at 0.028 eV per atom.

The space group is P2_1/m (No. 11) and the conventional cell measures 10.688, 3.582 and 10.760 Å, with angles of 90.00, 108.97 and 90.00 degrees. The inequivalent atoms are La at (0.210, 0.250, 0.372), Sm at (0.130, 0.750, 0.633), Er at (0.044, 0.250, 0.879), Er at (0.294, 0.750, 0.117), Er at (0.460, 0.750, 0.632) and Th at (0.378, 0.250, 0.877).

# 4
Here is a relaxed La6SmErTh2 crystal from the Alexandria database. Energies are from PBE-GGA.

The calculated total energy comes out at -5.235 eV/atom. For the magnetization, the calculation gives 0.00 Bohr magnetons per cell. The calculation puts the calculated formation energy at 0.134 eV per atom.

The space group is C2/c (No. 15) and the conventional cell measures 9.121, 14.932 and 10.787 Å, with angles of 90.00, 105.77 and 90.00 degrees. The inequivalent atoms are La at (0.075, 0.183, 0.456), La at (0.090, 0.403, 0.616), La at (0.211, 0.221, 0.832), Sm at (0.000, 0.007, 0.750), Er at (0.000, 0.401, 0.250) and Th at (0.220, 0.038, 0.046).

# 5
Here is a relaxed La5Sm2ErTh crystal from the Alexandria database. Energies are from PBE-GGA.

The calculated total energy comes out at -4.995 eV/atom. For the magnetization, the calculation gives 0.00 Bohr magnetons per cell. The calculation puts the calculated formation energy at 0.122 eV per atom.

The space group is Cmc2_1 (No. 36) and the conventional cell measures 5.549, 21.892 and 10.644 Å, with angles of 90.00, 90.00 and 90.00 degrees. The inequivalent atoms are La at (0.000, 0.000, 0.000), La at (0.000, 0.130, 0.250), La at (0.000, 0.223, 0.558), La at (0.000, 0.224, 0.941), La at (0.000, 0.499, 0.250), Sm at (0.000, 0.388, 0.002), Sm at (0.000, 0.388, 0.498), Er at (0.000, 0.103, 0.750) and Th at (0.000, 0.291, 0.249).

# 6
Here is a relaxed LaSmEr2Th crystal from the Alexandria database. Energies are from PBE-GGA.

The calculated total energy comes out at -4.966 eV/atom. For the magnetization, the calculation gives 0.00 Bohr magnetons per cell. The calculation puts the calculated formation energy at 0.272 eV per atom.

The space group is Pmmm (No. 47) and the conventional cell measures 3.530, 5.678 and 8.738 Å, with angles of 90.00, 90.00 and 90.00 degrees. The inequivalent atoms are La at (0.000, 0.000, 0.000), Sm at (0.500, 0.000, 0.500), Er at (0.000, 0.500, 0.321) and Th at (0.500, 0.500, 0.000).

# 7
Here is a relaxed LaSmErTh2 crystal from the Alexandria database. Energies are from PBE-GGA.

The calculated total energy comes out at -5.459 eV/atom. For the magnetization, the calculation gives 0.00 Bohr magnetons per cell. The calculation puts the calculated formation energy at 0.351 eV per atom.

The space group is Cmcm (No. 63) and the conventional cell measures 6.734, 15.751 and 6.742 Å, with angles of 90.00, 90.00 and 90.00 degrees. The inequivalent atoms are La at (0.000, 0.246, 0.250), Sm at (0.000, 0.349, 0.750), Er at (0.000, 0.150, 0.750) and Th at (0.248, 0.000, 0.000).

# 8
Here is a relaxed LaSm2Er4Th crystal from the Alexandria database. Energies are from PBE-GGA.

The calculated total energy comes out at -4.972 eV/atom. For the magnetization, the calculation gives 0.00 Bohr magnetons per cell. The calculation puts the calculated formation energy at 0.033 eV per atom.

The space group is Pmmm (No. 47) and the conventional cell measures 5.108, 5.120 and 9.907 Å, with angles of 90.00, 90.00 and 90.00 degrees. The inequivalent atoms are La at (0.000, 0.000, 0.000), Sm at (0.000, 0.000, 0.500), Sm at (0.500, 0.500, 0.000), Er at (0.000, 0.500, 0.256), Er at (0.500, 0.000, 0.256) and Th at (0.500, 0.500, 0.500).